Entry 1:
This record from OQMD via LeMat-Bulk describes a geometry-optimized Zn2AgTe structure. The functional is PBE.

abc: 6.9413 6.9413 6.9413
angles: 90.00 90.00 90.00
Space group F-43m (No. 216)
One atom of each set of equivalent atoms:
Zn (0.0000, 0.0000, 0.0000) [4 per cell]
Zn (0.2500, 0.2500, 0.2500) [4 per cell]
Ag (0.2500, 0.2500, 0.7500) [4 per cell]
Te (0.0000, 0.0000, 0.5000) [4 per cell]

Output
As for the theoretical density: 7.27 Mg/m³. The total energy comes out at -0.1417 Ry per atom.

***

Entry 2:
This record from OQMD via LeMat-Bulk describes a geometry-optimized Cs2NdHoO4 structure. The functional is PBE.

abc: 3.5818 3.5818 13.6294
angles: 90.00 90.00 120.00
Space group P-3m1 (No. 164)
One atom of each set of equivalent atoms:
Cs (0.3333, 0.6667, 0.2472) [2 per cell]
Nd (0.0000, 0.0000, 0.5000) [1 per cell]
Ho (0.0000, 0.0000, 0.0000) [1 per cell]
O (0.3333, 0.6667, 0.5898) [2 per cell]
O (0.3333, 0.6667, 0.9197) [2 per cell]

Output
As for the theoretical density: 7.01 Mg/m³. The total energy comes out at -0.4716 Ry per atom.

***

Entry 3:
This record from OQMD via LeMat-Bulk describes a geometry-optimized Tb3InC structure. The functional is PBE.

abc: 4.9486 4.9486 4.9486
angles: 90.00 90.00 90.00
Space group Pm-3m (No. 221)
One atom of each set of equivalent atoms:
Tb (0.0000, 0.0000, 0.5000) [3 per cell]
In (0.5000, 0.5000, 0.5000) [1 per cell]
C (0.0000, 0.0000, 0.0000) [1 per cell]

Output
The value obtained for the distance to the lowest polymorph of the same formula is 0.000 eV per atom. As for the theoretical density: 8.27 Mg/m³.

***

Entry 4:
This record from OQMD via LeMat-Bulk describes a geometry-optimized HfCoSiTc structure. The functional is PBE.

abc: 6.2134 6.2134 6.2134
angles: 90.00 90.00 90.00
Space group F-43m (No. 216)
One atom of each set of equivalent atoms:
Hf (0.0000, 0.0000, 0.0000) [4 per cell]
Co (0.0000, 0.0000, 0.5000) [4 per cell]
Si (0.2500, 0.2500, 0.2500) [4 per cell]
Tc (0.2500, 0.2500, 0.7500) [4 per cell]

Output
The value obtained for the distance to the lowest polymorph of the same formula is 0.562 eV per atom. As for the theoretical density: 10.07 Mg/m³.

***

Entry 5:
This record from OQMD via LeMat-Bulk describes a geometry-optimized AcErB4 structure. The functional is PBE.

abc: 3.3530 5.7483 8.4050
angles: 90.00 90.00 90.00
Space group Immm (No. 71)
One atom of each set of equivalent atoms:
Ac (0.0000, 0.0000, 0.0000) [2 per cell]
Er (0.0000, 0.0000, 0.5000) [2 per cell]
B (0.0000, 0.3361, 0.2467) [8 per cell]

Output
The value obtained for the distance to the lowest polymorph of the same formula is 0.121 eV per atom. As for the theoretical density: 8.97 Mg/m³.

***

Entry 6:
This record from OQMD via LeMat-Bulk describes a geometry-optimized LiGd2 structure. The functional is PBE.

abc: 9.2274 9.2274 9.2274
angles: 90.00 90.00 90.00
Space group Fd-3m (No. 227, origin choice 2)
One atom of each set of equivalent atoms:
Li (0.1250, 0.1250, 0.1250) [8 per cell]
Gd (0.0000, 0.0000, 0.5000) [16 per cell]

Output
As for the theoretical density: 5.43 Mg/m³. The total energy comes out at -0.2415 Ry per atom.

***

Entry 7:
This record from OQMD via LeMat-Bulk describes a geometry-optimized Tm2Nb structure. The functional is PBE.

abc: 8.4275 8.4275 8.4275
angles: 90.00 90.00 90.00
Space group Fd-3m (No. 227, origin choice 2)
One atom of each set of equivalent atoms:
Tm (0.0000, 0.0000, 0.0000) [16 per cell]
Nb (0.1250, 0.1250, 0.6250) [8 per cell]

Output
The value obtained for the distance to the lowest polymorph of the same formula is 0.000 eV per atom. As for the theoretical density: 9.56 Mg/m³. The energy of formation is 850.8 meV/atom.

***

Entry 8:
This record from OQMD via LeMat-Bulk describes a geometry-optimized MgAsOsO structure. The functional is PBE.

abc: 3.7206 3.7206 8.0297
angles: 90.00 90.00 90.00
Space group P4/nmm (No. 129, origin choice 2)
One atom of each set of equivalent atoms:
Mg (0.2500, 0.7500, 0.0000) [2 per cell]
As (0.2500, 0.2500, 0.2377) [2 per cell]
Os (0.2500, 0.2500, 0.6558) [2 per cell]
O (0.2500, 0.7500, 0.5000) [2 per cell]

Output
The value obtained for the distance to the lowest polymorph of the same formula is 1.319 eV per atom. As for the theoretical density: 9.13 Mg/m³.

***

Entry 9:
This record from OQMD via LeMat-Bulk describes a geometry-optimized TmCuSb structure. The functional is PBE.

abc: 6.3827 6.3827 6.3827
angles: 90.00 90.00 90.00
Space group F-43m (No. 216)
One atom of each set of equivalent atoms:
Tm (0.0000, 0.0000, 0.0000) [4 per cell]
Cu (0.2500, 0.2500, 0.7500) [4 per cell]
Sb (0.0000, 0.0000, 0.5000) [4 per cell]

Output
As for the theoretical density: 9.05 Mg/m³. The total energy comes out at -0.3405 Ry per atom.

***

Entry 10:
This record from OQMD via LeMat-Bulk describes a geometry-optimized RbLuInSe3 structure. The functional is PBE.

abc: 4.1553 16.0564 11.5562
angles: 90.00 90.00 90.00
Space group Cmcm (No. 63)
One atom of each set of equivalent atoms:
Rb (0.0000, 0.2178, 0.2500) [4 per cell]
Lu (0.0000, 0.5000, 0.0000) [4 per cell]
In (0.0000, 0.0836, 0.7500) [4 per cell]
Se (0.0000, 0.1198, 0.5152) [8 per cell]
Se (0.0000, 0.4698, 0.7500) [4 per cell]

Output
As for the theoretical density: 5.27 Mg/m³. The total energy comes out at -0.3129 Ry per atom.

***

Entry 11:
This record from OQMD via LeMat-Bulk describes a geometry-optimized BeNbTe structure. The functional is PBE.

abc: 6.0227 6.0227 6.0227
angles: 90.00 90.00 90.00
Space group F-43m (No. 216)
One atom of each set of equivalent atoms:
Be (0.0000, 0.0000, 0.0000) [4 per cell]
Nb (0.2500, 0.2500, 0.7500) [4 per cell]
Te (0.2500, 0.2500, 0.2500) [4 per cell]

Output
The value obtained for the distance to the lowest polymorph of the same formula is 0.000 eV per atom. As for the theoretical density: 6.98 Mg/m³.

***

Entry 12:
This record from OQMD via LeMat-Bulk describes a geometry-optimized Y2Tl8Ir structure. The functional is PBE.

abc: 4.7551 4.7551 12.3587
angles: 90.00 90.00 90.00
Space group P4/mmm (No. 123)
One atom of each set of equivalent atoms:
Y (0.0000, 0.0000, 0.1960) [2 per cell]
Tl (0.0000, 0.5000, 0.0000) [2 per cell]
Tl (0.0000, 0.5000, 0.3743) [4 per cell]
Tl (0.5000, 0.5000, 0.1866) [2 per cell]
Ir (0.0000, 0.0000, 0.5000) [1 per cell]

Output
As for the theoretical density: 11.91 Mg/m³. The total energy comes out at -0.2801 Ry per atom.